[1]
Density functional theory data (PBE) for a relaxed structure of SrPbCl2.

Properties
**E above lowest polymorph**: 16.9 kJ per mole of atoms
**Spin magnetization**: 0.00 μB/cell
**Raw total energy**: -0.1310 Ha/atom
**Raw formation energy**: -1.295 eV per atom
**Volume**: 30.0 Å³/atom

```
data_SrPbCl2
_chemical_formula_sum 'Sr2 Pb2 Cl4'
_symmetry_space_group_name_H-M 'C 1 m 1'
_symmetry_Int_Tables_number 8
_cell_length_a 14.174
_cell_length_b 3.740
_cell_length_c 4.814
_cell_angle_alpha 90.00
_cell_angle_beta 109.84
_cell_angle_gamma 90.00
loop_
_symmetry_equiv_pos_as_xyz
'x,y,z'
'x,-y,z'
'x+1/2,y+1/2,z'
'x+1/2,-y+1/2,z'
loop_
_atom_site_label
_atom_site_type_symbol
_atom_site_fract_x
_atom_site_fract_y
_atom_site_fract_z
Sr1 Sr 0.000 0.000 0.000
Pb1 Pb 0.243 0.000 0.740
Cl1 Cl 0.172 0.500 0.168
Cl2 Cl 0.462 0.000 0.460
```

***

[2]
Density functional theory data (PBE) for a relaxed structure of Sm2AlGe3.

Properties
**Energy of formation from the pure elements**: -0.59 eV per atom
**E above lowest polymorph**: 7.2 kJ per mole of atoms
**Spin magnetization**: 0.00 μB/cell
**Raw total energy**: -0.1874 Ha/atom
**Volume**: 22.3 Å³/atom

```
data_Sm2AlGe3
_chemical_formula_sum 'Sm2 Al1 Ge3'
_symmetry_space_group_name_H-M 'P m m 2'
_symmetry_Int_Tables_number 25
_cell_length_a 4.056
_cell_length_b 4.270
_cell_length_c 7.720
_cell_angle_alpha 90.00
_cell_angle_beta 90.00
_cell_angle_gamma 90.00
loop_
_symmetry_equiv_pos_as_xyz
'x,y,z'
'-x,-y,z'
'-x,y,z'
'x,-y,z'
loop_
_atom_site_label
_atom_site_type_symbol
_atom_site_fract_x
_atom_site_fract_y
_atom_site_fract_z
Sm1 Sm 0.000 0.000 0.000
Sm2 Sm 0.000 0.500 0.489
Al1 Al 0.500 0.500 0.827
Ge1 Ge 0.500 0.000 0.329
Ge2 Ge 0.500 0.000 0.667
Ge3 Ge 0.500 0.500 0.150
```

***

[3]
Density functional theory data (PBE) for a relaxed structure of LaGa12Pt6.

Properties
**Energy of formation from the pure elements**: -0.60 eV per atom
**Spin magnetization**: 0.00 μB/cell
**Raw total energy**: -0.1719 Ha/atom
**Volume**: 17.7 Å³/atom

```
data_LaGa12Pt6
_chemical_formula_sum 'La3 Ga36 Pt18'
_symmetry_space_group_name_H-M 'R -3 m'
_symmetry_Int_Tables_number 166
_symmetry_space_group_name_Hall '-R 3 2"'
_cell_length_a 11.4395
_cell_length_b 11.4395
_cell_length_c 8.8906
_cell_angle_alpha 90.00
_cell_angle_beta 90.00
_cell_angle_gamma 120.00
loop_
_atom_site_label
_atom_site_type_symbol
_atom_site_fract_x
_atom_site_fract_y
_atom_site_fract_z
La1 La 0.0000 0.0000 0.0000
Ga1 Ga 0.0000 0.3892 0.5000
Ga2 Ga 0.0840 0.1681 0.3144
Pt1 Pt 0.0447 0.5223 0.2384
```

***

Question: Number 3 is which compound?
Answer: LaGa12Pt6

***

Question: Which formula does entry 2 have?
Answer: Sm2AlGe3

***

Repeat the first record exactly.
Density functional theory data (PBE) for a relaxed structure of SrPbCl2.

Properties
**E above lowest polymorph**: 16.9 kJ per mole of atoms
**Spin magnetization**: 0.00 μB/cell
**Raw total energy**: -0.1310 Ha/atom
**Raw formation energy**: -1.295 eV per atom
**Volume**: 30.0 Å³/atom

```
data_SrPbCl2
_chemical_formula_sum 'Sr2 Pb2 Cl4'
_symmetry_space_group_name_H-M 'C 1 m 1'
_symmetry_Int_Tables_number 8
_cell_length_a 14.174
_cell_length_b 3.740
_cell_length_c 4.814
_cell_angle_alpha 90.00
_cell_angle_beta 109.84
_cell_angle_gamma 90.00
loop_
_symmetry_equiv_pos_as_xyz
'x,y,z'
'x,-y,z'
'x+1/2,y+1/2,z'
'x+1/2,-y+1/2,z'
loop_
_atom_site_label
_atom_site_type_symbol
_atom_site_fract_x
_atom_site_fract_y
_atom_site_fract_z
Sr1 Sr 0.000 0.000 0.000
Pb1 Pb 0.243 0.000 0.740
Cl1 Cl 0.172 0.500 0.168
Cl2 Cl 0.462 0.000 0.460
```

***

Question: The highest raw total energy belongs to which entry?
Answer: SrPbCl2